No. 1
The following is a DFT calculation (PBE-GGA) of crystalline CePrSm2 at its relaxed geometry.

Values from the calculation:
- Volume: 33.22 Å³/atom
- Fermi-level density of states: 8.063 states/eV/cell
- Mass density: 7.27 g/cm³
- Relative energy among the computed polymorphs: 0.140 eV per atom

Cell: 12.779 12.779 12.779 Å, 15.68 15.68 15.68°
Positions (direct):
Ce 0.000 0.000 0.000
Pr 0.500 0.500 0.500
Sm 0.087 0.087 0.087
Sm 0.913 0.913 0.913

***

No. 2
The following is a DFT calculation (PBE-GGA) of crystalline LiZn4Fe at its relaxed geometry.

Values from the calculation:
- Volume: 13.65 Å³/atom
- Fermi-level density of states: 2.615 states/eV/cell
- Mass density: 6.58 g/cm³
- Relative energy among the computed polymorphs: 0.000 eV per atom

Cell: 5.613 5.613 3.953 Å, 90.00 90.00 138.87°
Positions (direct):
Li 0.000 0.000 0.000
Zn 0.163 0.837 0.500
Zn 0.344 0.656 0.000
Zn 0.656 0.344 0.000
Zn 0.837 0.163 0.500
Fe 0.500 0.500 0.500

***

No. 3
The following is a DFT calculation (PBE-GGA) of crystalline K4Ac3SmS8 at its relaxed geometry.

Values from the calculation:
- Volume: 30.56 Å³/atom
- Fermi-level density of states: 0.000 states/eV/cell
- Mass density: 4.23 g/cm³
- ΔE_f (raw): -1.8782 eV per atom

Cell: 8.964 8.964 8.964 Å, 58.26 58.26 58.26°
Positions (direct):
K 0.000 0.000 0.000
K 0.000 0.500 0.500
K 0.500 0.000 0.500
K 0.500 0.500 0.000
Ac 0.000 0.000 0.500
Ac 0.000 0.500 0.000
Ac 0.500 0.000 0.000
Sm 0.500 0.500 0.500
S 0.239 0.239 0.239
S 0.249 0.730 0.730
S 0.270 0.270 0.751
S 0.270 0.751 0.270
S 0.730 0.249 0.730
S 0.730 0.730 0.249
S 0.751 0.270 0.270
S 0.761 0.761 0.761

***

No. 4
The following is a DFT calculation (PBE-GGA) of crystalline InCS2N at its relaxed geometry.

Values from the calculation:
- Volume: 21.49 Å³/atom
- Fermi-level density of states: 2.191 states/eV/cell
- Mass density: 3.17 g/cm³
- Relative energy among the computed polymorphs: 1.682 eV per atom
- ΔE_f (raw): 2.3418 eV per atom

Cell: 5.119 5.119 4.100 Å, 90.00 90.00 90.00°
Positions (direct):
In 0.000 0.000 0.000
C 0.500 0.500 0.500
S 0.000 0.500 0.000
S 0.500 0.000 0.000
N 0.000 0.000 0.500